# 1
Material: Sm2GdP3
Method: DFT, GGA-PBE
State: relaxed

a b c (Å): 4.0894 4.0894 10.0012
angles (deg): 90.00 90.00 120.00
Positions (direct):
Sm 0.3333 0.6667 0.8320
Sm 0.6667 0.3333 0.1680
P 0.6667 0.3333 0.6637
P 0.3333 0.6667 0.3363
P 0.0000 0.0000 0.0000
Gd 0.0000 0.0000 0.5000

# 2
Material: Sm2GdTa2P6
Method: DFT, GGA-PBE
State: relaxed

a b c (Å): 11.7948 11.7948 11.7948
angles (deg): 156.97 156.97 32.80
Positions (direct):
P 0.4206 0.9206 0.5000
P 0.2917 0.2917 0.0000
P 0.5794 0.0794 0.5000
Ta 0.6064 0.6064 0.0000
Sm 0.8340 0.8340 0.0000
Ta 0.3936 0.3936 0.0000
P 0.9206 0.4206 0.5000
Gd 0.0000 0.0000 0.0000
P 0.7083 0.7083 0.0000
P 0.0794 0.5794 0.5000
Sm 0.1660 0.1660 0.0000

# 3
Material: Tb2GdP3
Method: DFT, GGA-PBE
State: relaxed

a b c (Å): 4.0332 4.0332 9.8994
angles (deg): 90.00 90.00 120.00
Positions (direct):
Gd 0.0000 0.0000 0.5000
P 0.6667 0.3333 0.6674
Tb 0.3333 0.6667 0.8336
P 0.0000 0.0000 0.0000
P 0.3333 0.6667 0.3326
Tb 0.6667 0.3333 0.1664

# 4
Material: Gd3Te2P
Method: DFT, GGA-PBE
State: relaxed

a b c (Å): 4.2192 4.2192 10.8016
angles (deg): 90.00 90.00 120.00
Positions (direct):
Gd 0.0000 0.0000 0.5000
Gd 0.6667 0.3333 0.1343
P 0.0000 0.0000 0.0000
Gd 0.3333 0.6667 0.8657
Te 0.3333 0.6667 0.3236
Te 0.6667 0.3333 0.6764

# 5
Material: Gd4Te3P
Method: DFT, GGA-PBE
State: relaxed

a b c (Å): 7.5183 7.5183 7.5183
angles (deg): 132.20 132.20 69.91
Positions (direct):
Gd 0.5000 0.0000 0.5000
Gd 0.7215 0.7215 0.0000
Gd 0.0000 0.5000 0.5000
Te 0.2500 0.7500 0.5000
Gd 0.2785 0.2785 0.0000
Te 0.0000 0.0000 0.0000
P 0.5000 0.5000 0.0000
Te 0.7500 0.2500 0.5000

# 6
Material: GdTm2P3
Method: DFT, GGA-PBE
State: relaxed

a b c (Å): 3.9833 3.9833 9.7431
angles (deg): 90.00 90.00 120.00
Positions (direct):
P 0.3333 0.6667 0.3279
Gd 0.0000 0.0000 0.5000
P 0.6667 0.3333 0.6721
P 0.0000 0.0000 0.0000
Tm 0.3333 0.6667 0.8357
Tm 0.6667 0.3333 0.1643

# 7
Material: Gd2YP3
Method: DFT, GGA-PBE
State: relaxed

a b c (Å): 4.0370 4.0370 9.8815
angles (deg): 90.00 90.00 120.00
Positions (direct):
Y 0.0000 0.0000 0.5000
Gd 0.3333 0.6667 0.8325
P 0.0000 0.0000 0.0000
P 0.6667 0.3333 0.6651
Gd 0.6667 0.3333 0.1675
P 0.3333 0.6667 0.3349

# 8
Material: GdZn3P3
Method: DFT, GGA-PBE
State: relaxed

a b c (Å): 4.0078 4.0078 19.8542
angles (deg): 90.00 90.00 120.00
Positions (direct):
Zn 0.3333 0.6667 0.1285
Zn 0.6667 0.3333 0.6285
Zn 0.6667 0.3333 0.2500
Zn 0.6667 0.3333 0.8715
Zn 0.3333 0.6667 0.7500
Gd 0.0000 0.0000 0.5000
P 0.6667 0.3333 0.4152
P 0.3333 0.6667 0.2500
P 0.6667 0.3333 0.7500
Zn 0.3333 0.6667 0.3715
P 0.6667 0.3333 0.0848
Gd 0.0000 0.0000 0.0000
P 0.3333 0.6667 0.9152
P 0.3333 0.6667 0.5848

| no. | raw total energy (eV per atom) | mass density (g/cm³) |
| --- | --- | --- |
| 1 | -6.6364 | 6.3 |
| 2 | -7.2557 | 6.7 |
| 3 | -6.6346 | 6.8 |
| 4 | -5.7647 | 7.6 |
| 5 | -5.5912 | 7.6 |
| 6 | -6.5750 | 7.3 |
| 7 | -6.9476 | 5.9 |
| 8 | -4.1358 | 5.4 |